{
  "formula": "Co2BiRuO8",
  "functional": "GGA+U",
  "state": "relaxed",
  "spacegroup": "I-4m2, No. 119",
  "n_ef_per_ev_cell": 6.2,
  "total_energy_ev_per_cell": -70.4,
  "cell": [[5.7287, 0.3250, 0.0000], [-2.2495, 5.2786, 0.0000], [-1.7396, -2.8018, 4.6955]],
  "species": ["Co", "Co", "Bi", "Ru", "O", "O", "O", "O", "O", "O", "O", "O"],
  "fractional_positions": [[0.7500, 0.2500, 0.5000], [0.5000, 0.5000, 0.0000], [0.0000, 0.0000, 0.0000], [0.2500, 0.7500, 0.5000], [0.3580, 0.0222, 0.3358], [0.3096, 0.5056, 0.1960], [0.3096, 0.1135, 0.8040], [0.6864, 0.0222, 0.6642], [0.8865, 0.6904, 0.1960], [0.9778, 0.3136, 0.3358], [0.9778, 0.6420, 0.6642], [0.4944, 0.6904, 0.8040]]
}